(P)
First-principles (PBE-GGA) data for an optimized crystal structure of CoCuAg2, as listed in the Alexandria database.

The volume is 59.6 Å³ per cell. The symmetry is R-3m.

Geometry as extended XYZ:
```
4
Lattice="1.3860 0.8002 8.9488 -1.3860 0.8002 8.9488 0.0000 -1.6005 8.9488" Properties=species:S:1:pos:R:3 pbc="T T T"
Co 0.0000 0.0000 0.0000
Cu 0.0000 0.0000 13.4232
Ag 0.0000 0.0000 6.7069
Ag 0.0000 0.0000 20.1394
```

---

(Q)
First-principles (PBE-GGA) data for an optimized crystal structure of CoCuAg2, as listed in the Alexandria database.

The volume is 60.6 Å³ per cell. The symmetry is Pmmm.

Geometry as extended XYZ:
```
4
Lattice="2.8245 0.0000 0.0000 0.0000 4.5940 0.0000 0.0000 0.0000 4.6681" Properties=species:S:1:pos:R:3 pbc="T T T"
Co 0.0000 0.0000 0.0000
Cu 1.4123 0.0000 2.3340
Ag 0.0000 2.2970 2.3340
Ag 1.4123 2.2970 0.0000
```

---

(R)
First-principles (PBE-GGA) data for an optimized crystal structure of CoCuAg2, as listed in the Alexandria database.

The volume is 131.8 Å³ per cell. The symmetry is I-42d.

Geometry as extended XYZ:
```
8
Lattice="-1.8824 1.8824 9.3021 1.8824 -1.8824 9.3021 1.8824 1.8824 -9.3021" Properties=species:S:1:pos:R:3 pbc="T T T"
Co 0.0000 0.0000 0.0000
Co 0.0000 1.8824 4.6511
Cu 1.8824 0.0000 4.6511
Cu 0.0000 0.0000 9.3021
Ag 0.9412 -0.9397 6.9766
Ag 0.9427 0.9412 2.3255
Ag 0.9412 2.8221 -2.3255
Ag 0.9397 0.9412 11.6276
```

---

Which of them is the least stable? Correct choice: (R).

---

(P)
First-principles (PBE-GGA) data for an optimized crystal structure of CoCuAg2, as listed in the Alexandria database.

The volume is 59.1 Å³ per cell. The symmetry is P4mm.

Geometry as extended XYZ:
```
4
Lattice="2.7778 0.0000 0.0000 0.0000 2.7778 0.0000 0.0000 0.0000 7.6591" Properties=species:S:1:pos:R:3 pbc="T T T"
Co 0.0000 0.0000 0.0000
Cu 1.3889 1.3889 1.5426
Ag 0.0000 0.0000 3.4789
Ag 1.3889 1.3889 5.7215
```

---

(Q)
First-principles (PBE-GGA) data for an optimized crystal structure of CoCuAg2, as listed in the Alexandria database.

The volume is 59.6 Å³ per cell. The symmetry is I4/mmm.

Geometry as extended XYZ:
```
4
Lattice="-1.9955 1.9955 3.7405 1.9955 -1.9955 3.7405 1.9955 1.9955 -3.7405" Properties=species:S:1:pos:R:3 pbc="T T T"
Co 0.0000 0.0000 0.0000
Cu 0.0000 0.0000 3.7405
Ag 1.9955 0.0000 1.8702
Ag 0.0000 1.9955 1.8702
```

---

(R)
First-principles (PBE-GGA) data for an optimized crystal structure of CoCuAg2, as listed in the Alexandria database.

The volume is 59.3 Å³ per cell. The symmetry is Cmmm.

Geometry as extended XYZ:
```
4
Lattice="2.8191 -3.8601 0.0000 2.8191 3.8601 0.0000 0.0000 0.0000 2.7267" Properties=species:S:1:pos:R:3 pbc="T T T"
Co 0.0000 0.0000 0.0000
Cu 2.8191 0.0000 0.0000
Ag 1.4095 1.9301 1.3634
Ag 1.4095 -1.9301 1.3634
```

---

(S)
First-principles (PBE-GGA) data for an optimized crystal structure of CoCuAg2, as listed in the Alexandria database.

The volume is 59.3 Å³ per cell. The symmetry is P4/mmm.

Geometry as extended XYZ:
```
4
Lattice="2.7631 0.0000 0.0000 0.0000 2.7631 0.0000 0.0000 0.0000 7.7659" Properties=species:S:1:pos:R:3 pbc="T T T"
Co 0.0000 0.0000 0.0000
Cu 0.0000 0.0000 3.8830
Ag 1.3816 1.3816 1.9419
Ag 1.3816 1.3816 5.8240
```

---

Which of them is the least stable? Correct choice: (Q).

---

(P)
First-principles (PBE-GGA) data for an optimized crystal structure of CoCuAg2, as listed in the Alexandria database.

The volume is 59.8 Å³ per cell. The symmetry is Pm.

Geometry as extended XYZ:
```
4
Lattice="2.7133 0.0000 0.0000 0.0000 4.1743 0.0000 -1.1989 0.0000 5.2815" Properties=species:S:1:pos:R:3 pbc="T T T"
Co 0.0000 0.0000 0.0000
Cu 0.5001 2.0871 1.2446
Ag 0.2849 2.0871 4.0530
Ag 1.6896 0.0000 2.4834
```

---

(Q)
First-principles (PBE-GGA) data for an optimized crystal structure of CoCuAg2, as listed in the Alexandria database.

The volume is 60.1 Å³ per cell. The symmetry is F-43m.

Geometry as extended XYZ:
```
4
Lattice="0.0000 3.1096 3.1096 3.1096 0.0000 3.1096 3.1096 3.1096 0.0000" Properties=species:S:1:pos:R:3 pbc="T T T"
Co 0.0000 0.0000 0.0000
Cu 1.5548 1.5548 1.5548
Ag 3.1096 3.1096 3.1096
Ag 4.6645 4.6645 4.6645
```

---

(R)
First-principles (PBE-GGA) data for an optimized crystal structure of CoCuAg2, as listed in the Alexandria database.

The volume is 60.6 Å³ per cell. The symmetry is Immm.

Geometry as extended XYZ:
```
4
Lattice="-1.4015 2.3491 4.6015 1.4015 -2.3491 4.6015 1.4015 2.3491 -4.6015" Properties=species:S:1:pos:R:3 pbc="T T T"
Co 0.0000 0.0000 0.0000
Cu 0.0000 0.0000 4.6015
Ag 1.4015 0.0000 2.3193
Ag 0.0000 2.3491 2.2821
```

---

Which of them is the least stable? Correct choice: (Q).

---

(P)
First-principles (PBE-GGA) data for an optimized crystal structure of Co2CuAg, as listed in the Alexandria database.

The volume is 115.0 Å³ per cell. The symmetry is I-42d.

Geometry as extended XYZ:
```
8
Lattice="-3.4054 3.4054 2.4803 3.4054 -3.4054 2.4803 3.4054 3.4054 -2.4803" Properties=species:S:1:pos:R:3 pbc="T T T"
Co 1.7027 1.5380 -0.6201
Co 1.8673 -1.7027 3.1003
Co 1.7027 1.8673 1.8602
Co 1.5380 5.1081 0.6201
Cu 0.0000 0.0000 0.0000
Cu 0.0000 3.4054 1.2401
Ag 3.4054 0.0000 1.2401
Ag 0.0000 0.0000 2.4803
```

---

(Q)
First-principles (PBE-GGA) data for an optimized crystal structure of Co2CuAg, as listed in the Alexandria database.

The volume is 51.9 Å³ per cell. The symmetry is I-4m2.

Geometry as extended XYZ:
```
4
Lattice="-1.8907 1.8907 3.6265 1.8907 -1.8907 3.6265 1.8907 1.8907 -3.6265" Properties=species:S:1:pos:R:3 pbc="T T T"
Co 0.0000 0.0000 0.0000
Co 0.0000 1.8907 1.8132
Cu 1.8907 0.0000 1.8132
Ag 0.0000 0.0000 3.6265
```

---

Which of them is the least stable? Correct choice: (P).

---

(P)
First-principles (PBE-GGA) data for an optimized crystal structure of Co2CuAg, as listed in the Alexandria database.

The volume is 52.3 Å³ per cell. The symmetry is Cm.

Geometry as extended XYZ:
```
4
Lattice="4.2633 -1.3082 0.0000 4.2633 1.3082 0.0000 -0.7820 0.0000 4.6876" Properties=species:S:1:pos:R:3 pbc="T T T"
Co 0.0000 0.0000 0.0000
Co 6.1585 0.0000 0.8899
Cu 1.5777 0.0000 3.4827
Ag 3.8554 0.0000 2.2969
```

---

(Q)
First-principles (PBE-GGA) data for an optimized crystal structure of Co2CuAg, as listed in the Alexandria database.

The volume is 52.9 Å³ per cell. The symmetry is P2/m.

Geometry as extended XYZ:
```
4
Lattice="2.5970 0.0000 0.0000 0.0000 4.4246 0.0000 -0.4331 0.0000 4.6060" Properties=species:S:1:pos:R:3 pbc="T T T"
Co 0.4299 0.0000 1.2347
Co 1.7339 0.0000 3.3713
Cu -0.2166 2.2123 2.3030
Ag 1.2985 2.2123 0.0000
```

---

(R)
First-principles (PBE-GGA) data for an optimized crystal structure of Co2CuAg, as listed in the Alexandria database.

The volume is 52.2 Å³ per cell. The symmetry is I4/mmm.

Geometry as extended XYZ:
```
4
Lattice="-1.8061 1.8061 4.0019 1.8061 -1.8061 4.0019 1.8061 1.8061 -4.0019" Properties=species:S:1:pos:R:3 pbc="T T T"
Co 1.8061 0.0000 2.0009
Co 0.0000 1.8061 2.0009
Cu 0.0000 0.0000 0.0000
Ag 0.0000 0.0000 4.0019
```

---

(S)
First-principles (PBE-GGA) data for an optimized crystal structure of Co2CuAg, as listed in the Alexandria database.

The volume is 52.2 Å³ per cell. The symmetry is R-3m.

Geometry as extended XYZ:
```
4
Lattice="1.3083 0.7554 8.8008 -1.3083 0.7554 8.8008 0.0000 -1.5107 8.8008" Properties=species:S:1:pos:R:3 pbc="T T T"
Co 0.0000 0.0000 6.4507
Co 0.0000 0.0000 19.9515
Cu 0.0000 0.0000 13.2011
Ag 0.0000 0.0000 0.0000
```

---

Which of them is the least stable? Correct choice: (Q).

---

(P)
First-principles (PBE-GGA) data for an optimized crystal structure of Co2CuAg, as listed in the Alexandria database.

The volume is 52.5 Å³ per cell. The symmetry is F-43m.

Geometry as extended XYZ:
```
4
Lattice="0.0000 2.9714 2.9714 2.9714 0.0000 2.9714 2.9714 2.9714 0.0000" Properties=species:S:1:pos:R:3 pbc="T T T"
Co 0.0000 0.0000 0.0000
Co 1.4857 1.4857 1.4857
Cu 2.9714 2.9714 2.9714
Ag 4.4571 4.4571 4.4571
```

---

(Q)
First-principles (PBE-GGA) data for an optimized crystal structure of Co2CuAg, as listed in the Alexandria database.

The volume is 52.4 Å³ per cell. The symmetry is Immm.

Geometry as extended XYZ:
```
4
Lattice="-1.3586 2.1559 4.4721 1.3586 -2.1559 4.4721 1.3586 2.1559 -4.4721" Properties=species:S:1:pos:R:3 pbc="T T T"
Co 0.0000 0.0000 2.1114
Co 0.0000 0.0000 6.8328
Cu 1.3586 0.0000 0.0000
Ag 0.0000 2.1559 0.0000
```

---

Which of them is the least stable? Correct choice: (P).